First-principles (PBE-GGA) data for a geometry-optimized Nd12Pd6N structure, as listed in the Alexandria database.

Cell: 12.4766 12.4766 12.2619 Å, 90.00 90.00 120.00°
Last column: nearest neighbours and their distance in Å.
Space group R-3 (No. 148, hexagonal axes)
Asymmetric unit:
Nd: 0.0219 0.8194 0.3903 (multiplicity 18)  3 Pd 2.81-3.06
Nd: 0.0378 0.8530 0.8818 (multiplicity 18)  1 N 2.56
Pd: 0.0456 0.7680 0.6481 (multiplicity 18)  5 Nd 2.81-3.08
N: 0.0000 0.0000 0.0000 (multiplicity 3)  6 Nd 2.56

## Properties
Its raw formation energy is -0.533 eV per atom. The crystal system is trigonal.

---

First-principles (PBE-GGA) data for a geometry-optimized TbIF2 structure, as listed in the Alexandria database.

Cell: 3.8411 11.7729 7.1488 Å, 90.00 90.00 90.00°
Last column: nearest neighbours and their distance in Å.
Space group Cmcm (No. 63)
Asymmetric unit:
Tb: 0.0000 0.2451 0.2500 (multiplicity 4)  6 F 2.36-2.41
I: 0.0000 0.0434 0.7500 (multiplicity 4)  3 Tb 3.15-3.40, 6 F 3.30-3.51
F: 0.0000 0.3024 0.5739 (multiplicity 8)  3 Tb 2.36-2.41, 3 F 2.52

## Properties
Its raw formation energy is -3.122 eV per atom. The calculation puts the energy relative to the lowest polymorph listed for this composition at 0.000 eV per atom. The crystal system is orthorhombic.

---

First-principles (PBE-GGA) data for a geometry-optimized TbHoScAu structure, as listed in the Alexandria database.

Cell: 7.3614 7.3614 7.3614 Å, 90.00 90.00 90.00°
Last column: nearest neighbours and their distance in Å.
Space group F-43m (No. 216)
Asymmetric unit:
Tb: 0.0000 0.0000 0.0000 (multiplicity 4)  4 Sc 3.19, 4 Au 3.19
Ho: 0.0000 0.0000 0.5000 (multiplicity 4)  4 Au 3.19, 4 Sc 3.19
Sc: 0.2500 0.2500 0.7500 (multiplicity 4)  4 Ho 3.19, 4 Tb 3.19
Au: 0.2500 0.2500 0.2500 (multiplicity 4)  4 Tb 3.19, 4 Ho 3.19

## Properties
The value obtained for the formation energy is -195 meV/atom. The crystal system is cubic.

---

First-principles (PBE-GGA) data for a geometry-optimized Sm4GaAu3 structure, as listed in the Alexandria database.

Cell: 3.8184 4.7123 11.3415 Å, 90.00 90.00 90.00°
Last column: nearest neighbours and their distance in Å.
Space group Pmm2 (No. 25)
Asymmetric unit:
Sm: 0.0000 0.0000 0.0000 (multiplicity 1)  6 Au 3.10-3.20, 1 Ga 3.15
Sm: 0.0000 0.5000 0.2788 (multiplicity 1)  7 Au 3.09-3.17
Sm: 0.5000 0.0000 0.4993 (multiplicity 1)  5 Au 3.10-3.11, 2 Ga 3.17
Sm: 0.5000 0.5000 0.7826 (multiplicity 1)  3 Au 3.11-3.18, 4 Ga 3.11
Ga: 0.0000 0.0000 0.7226 (multiplicity 1)  2 Au 3.00, 7 Sm 3.11-3.17
Au: 0.0000 0.5000 0.5583 (multiplicity 1)  2 Ga 3.00, 7 Sm 3.11-3.18
Au: 0.5000 0.0000 0.2262 (multiplicity 1)  2 Au 3.04, 7 Sm 3.09-3.20
Au: 0.5000 0.5000 0.0565 (multiplicity 1)  2 Au 3.04, 7 Sm 3.10-3.16

## Properties
The value obtained for the formation energy is -747 meV/atom. The crystal system is orthorhombic.

---

First-principles (PBE-GGA) data for a geometry-optimized NbOs2Rh structure, as listed in the Alexandria database.

Cell: 3.8993 3.8993 3.9680 Å, 90.00 90.00 90.00°
Last column: nearest neighbours and their distance in Å.
Space group P4/mmm (No. 123)
Asymmetric unit:
Nb: 0.0000 0.0000 0.0000 (multiplicity 1)  4 Rh 2.76, 8 Os 2.78
Os: 0.0000 0.5000 0.5000 (multiplicity 2)  4 Os 2.76, 4 Nb 2.78, 4 Rh 2.78
Rh: 0.5000 0.5000 0.0000 (multiplicity 1)  4 Nb 2.76, 8 Os 2.78

## Properties
The calculation puts the energy relative to the lowest polymorph listed for this composition at 0.000 eV per atom. The value obtained for the formation energy is -211 meV/atom. The crystal system is tetragonal.

---

First-principles (PBE-GGA) data for a geometry-optimized Be2InNi structure, as listed in the Alexandria database.

Cell: 7.9981 3.1787 4.2130 Å, 90.00 109.68 90.00°
Last column: nearest neighbours and their distance in Å.
Space group Cm (No. 8)
Asymmetric unit:
Be: 0.0000 0.0000 0.0000 (multiplicity 2)  2 Ni 2.20, 2 Be 2.33
Be: 0.2258 0.5000 0.1856 (multiplicity 2)  3 Ni 2.32-2.45, 3 Be 2.33-2.56
In: 0.2221 0.0000 0.6714 (multiplicity 2)  8 Be 2.59-2.79, 4 Ni 2.70-2.72
Ni: 0.4499 0.0000 0.3181 (multiplicity 2)  5 Be 2.20-2.45

## Properties
The calculation puts the energy relative to the lowest polymorph listed for this composition at 0.076 eV per atom. The value obtained for the formation energy is 126 meV/atom. The crystal system is monoclinic.